(1)
First-principles (GGA-PBE) data for a geometry-optimized SbTe2MoP structure, as listed in Alexandria.

Values from the calculation:
Total magnetization   2.8 μB per cell
E   -21.347 eV/cell
Energy relative to the lowest polymorph listed for this composition   226 meV per atom

```
SbTe2MoP
1.0
-0.7811 -4.3763 -2.7448
0.4197 -2.8206 4.3777
-4.9373 0.4161 0.7414
Sb Te Mo P
1 2 1 1
Direct
0.0000 0.0000 0.5000
0.0000 0.5000 0.0000
0.5000 0.0000 0.0000
0.5000 0.5000 0.5000
0.0000 0.0000 0.0000
```

***

(2)
First-principles (GGA-PBE) data for a geometry-optimized Li2W structure, as listed in Alexandria.

Values from the calculation:
Total magnetization   0.0 μB per cell
Formation energy from the elements   425 meV per atom
E   -15.505 eV/cell
Energy relative to the lowest polymorph listed for this composition   42 meV per atom

```
Li2W
1.0
-3.4202 2.7428 -6.0277
-2.2461 -0.5772 -7.0834
1.2474 -1.8226 7.1187
Li W
2 1
Direct
0.6585 0.6585 0.0000
0.3415 0.3415 0.0000
0.0000 0.0000 0.0000
```

***

(3)
First-principles (GGA-PBE) data for a geometry-optimized LaPm2P3Rh12 structure, as listed in Alexandria.

Values from the calculation:
Total magnetization   0.0 μB per cell
Formation energy from the elements   -352 meV per atom
E   -125.208 eV/cell

```
LaPm2P3Rh12
1.0
-2.4655 3.7170 -5.0987
-1.1364 -5.2131 -4.1742
-6.5221 -0.8002 1.6471
Rh Pm P La
12 2 3 1
Direct
0.3680 0.9097 0.3680
0.6320 0.0903 0.6320
0.6320 0.6320 0.0903
0.8210 0.3378 0.8210
0.8210 0.8210 0.3378
0.3680 0.3680 0.9097
0.3378 0.8210 0.8210
0.0903 0.6320 0.6320
0.6622 0.1790 0.1790
0.9097 0.3680 0.3680
0.1790 0.1790 0.6622
0.1790 0.6622 0.1790
0.6281 0.6281 0.6281
0.3719 0.3719 0.3719
0.0000 0.5000 0.0000
0.5000 0.0000 0.0000
0.0000 0.0000 0.5000
0.0000 0.0000 0.0000
```

***

(4)
First-principles (GGA-PBE) data for a geometry-optimized Th6InTe3Ir2 structure, as listed in Alexandria.

Values from the calculation:
Total magnetization   0.0 μB per cell
E   -85.488 eV/cell

```
Th6InTe3Ir2
1.0
4.2559 0.0000 0.0000
0.0000 9.2190 0.1460
-2.1279 -2.8517 9.3271
Te Ir Th In
3 2 6 1
Direct
0.1579 0.8353 0.3158
0.5000 0.5000 0.0000
0.8421 0.1647 0.6842
0.8295 0.6606 0.6590
0.1705 0.3394 0.3410
0.9817 0.7413 0.9634
0.6776 0.5587 0.3552
0.0183 0.2587 0.0366
0.6694 0.1250 0.3389
0.3224 0.4413 0.6448
0.3306 0.8750 0.6611
0.5000 0.0000 0.0000
```

***

(5)
First-principles (GGA-PBE) data for a geometry-optimized Cs2Ag2SbTe4 structure, as listed in Alexandria.

Values from the calculation:
Total magnetization   0.0 μB per cell
E   -28.277 eV/cell

```
Cs2Ag2SbTe4
1.0
4.4930 0.0000 0.0000
-2.2465 8.5962 -0.0548
0.0000 -3.0399 8.5054
Cs Ag Sb Te
2 2 1 4
Direct
0.1339 0.2678 0.5635
0.8661 0.7322 0.4365
0.6918 0.3836 0.9826
0.3082 0.6164 0.0174
0.0000 0.0000 0.0000
0.4802 0.9604 0.2204
0.8108 0.6215 0.8230
0.5198 0.0396 0.7796
0.1892 0.3785 0.1770
```

***

(6)
First-principles (GGA-PBE) data for a geometry-optimized Na2Pb2O3 structure, as listed in Alexandria.

Values from the calculation:
Total magnetization   0.0 μB per cell
E   -66.267 eV/cell
Energy relative to the lowest polymorph listed for this composition   53 meV per atom

```
Na2Pb2O3
1.0
-8.4280 2.8207 1.8406
-2.2916 -4.7821 -3.1646
-9.6122 -0.2045 7.2695
O Na Pb
6 4 4
Direct
0.0000 0.5000 0.5000
0.0000 0.0000 0.0000
0.6615 0.0608 0.6688
0.6615 0.4392 0.1688
0.3385 0.9392 0.3312
0.3385 0.5608 0.8312
0.9649 0.1668 0.6122
0.9649 0.3332 0.1122
0.0351 0.8332 0.3878
0.0351 0.6668 0.8878
0.2731 0.6274 0.4602
0.7269 0.3726 0.5398
0.7269 0.1274 0.0398
0.2731 0.8726 0.9602
```

***

> Which formula does entry 6 have?

Na2Pb2O3

***

> Which value of E does entry 2 give?

-15.505 eV/cell